Entry 1:
## InTcIr2 (PBE-GGA)

Data for a geometry-optimized InTcIr2 structure.

It has space group R3m (No. 160, hexagonal axes), with a = 2.8522 Å, b = 2.8522 Å, c = 27.1202 Å, α = 90.00°, β = 90.00° and γ = 120.00°. The distinct sites, in fractional coordinates, are In at (0.0000, 0.0000, 0.0000), Tc at (0.0000, 0.0000, 0.7553), Ir at (0.0000, 0.0000, 0.2479) and Ir at (0.0000, 0.0000, 0.4981).

The energy of formation from the pure elements is 190 meV per atom.

Entry 2:
## Sr3In8Cu3 (PBE-GGA)

Data for a geometry-optimized Sr3In8Cu3 structure.

It has space group C2/m (No. 12), with a = 17.446 Å, b = 4.954 Å, c = 9.772 Å, α = 90.00°, β = 123.78° and γ = 90.00°. The distinct sites, in fractional coordinates, are Sr at (0.000, 0.000, 0.000), Sr at (0.214, 0.500, 0.714), In at (0.007, 0.500, 0.673), In at (0.137, 0.000, 0.435), In at (0.151, 0.000, 0.868), In at (0.151, 0.500, 0.267), Cu at (0.000, 0.000, 0.500) and Cu at (0.153, 0.500, 0.997).

The energy of formation from the pure elements is -240 meV per atom.

Entry 3:
## MgPWS2 (PBE-GGA)

Data for a geometry-optimized MgPWS2 structure.

It has space group P4/mmm (No. 123), with a = 4.626 Å, b = 4.626 Å, c = 4.947 Å, α = 90.00°, β = 90.00° and γ = 90.00°. The distinct sites, in fractional coordinates, are Mg at (0.000, 0.000, 0.000), P at (0.500, 0.500, 0.000), W at (0.500, 0.500, 0.500) and S at (0.000, 0.500, 0.500).

For the energy above the most stable polymorph in this dataset, the calculation gives 0.0 meV per atom. The energy relative to the elements, uncorrected comes out at 0.056 eV per atom.

Entry 4:
## ErTc2C2 (PBE-GGA)

Data for a geometry-optimized ErTc2C2 structure.

It has space group C2/c (No. 15), with a = 6.870 Å, b = 8.636 Å, c = 5.494 Å, α = 90.00°, β = 123.15° and γ = 90.00°. The distinct sites, in fractional coordinates, are Er at (0.000, 0.127, 0.250), Tc at (0.155, 0.384, 0.034), C at (0.000, 0.184, 0.750) and C at (0.000, 0.423, 0.250).

The energy of formation from the pure elements is -165 meV per atom.

Entry 5:
## Cd2CuHg2 (PBE-GGA)

Data for a geometry-optimized Cd2CuHg2 structure.

It has space group I4/mmm (No. 139), with a = 3.987 Å, b = 3.987 Å, c = 14.941 Å, α = 90.00°, β = 90.00° and γ = 90.00°. The distinct sites, in fractional coordinates, are Cd at (0.000, 0.500, 0.250), Cu at (0.000, 0.000, 0.000) and Hg at (0.000, 0.000, 0.407).

For the energy above the most stable polymorph in this dataset, the calculation gives 154.6 meV per atom. The energy of formation from the pure elements is 339 meV per atom.

Entry 6:
## PmPr2Pb (PBE-GGA)

Data for a geometry-optimized PmPr2Pb structure.

It has space group R3m (No. 160, hexagonal axes), with a = 3.7037 Å, b = 3.7037 Å, c = 34.3304 Å, α = 90.00°, β = 90.00° and γ = 120.00°. The distinct sites, in fractional coordinates, are Pm at (0.0000, 0.0000, 0.0000), Pr at (0.0000, 0.0000, 0.2464), Pr at (0.0000, 0.0000, 0.4203) and Pb at (0.0000, 0.0000, 0.8338).

For the energy above the most stable polymorph in this dataset, the calculation gives 191.5 meV per atom. The energy of formation from the pure elements is -149 meV per atom.

Entry 7:
## RbBiPb (PBE-GGA)

Data for a geometry-optimized RbBiPb structure.

It has space group P-6m2 (No. 187), with a = 5.4369 Å, b = 5.4369 Å, c = 5.4105 Å, α = 90.00°, β = 90.00° and γ = 120.00°. The distinct sites, in fractional coordinates, are Rb at (0.0000, 0.0000, 0.0000), Bi at (0.6667, 0.3333, 0.5000) and Pb at (0.3333, 0.6667, 0.5000).

The energy of formation from the pure elements is -176 meV per atom.

Entry 8:
## LaPr2Au (PBE-GGA)

Data for a geometry-optimized LaPr2Au structure.

It has space group R3m (No. 160, hexagonal axes), with a = 3.9067 Å, b = 3.9067 Å, c = 30.7971 Å, α = 90.00°, β = 90.00° and γ = 120.00°. The distinct sites, in fractional coordinates, are La at (0.0000, 0.0000, 0.0000), Pr at (0.0000, 0.0000, 0.2345), Pr at (0.0000, 0.0000, 0.4316) and Au at (0.0000, 0.0000, 0.8334).

For the energy above the most stable polymorph in this dataset, the calculation gives 157.8 meV per atom. The energy of formation from the pure elements is -236 meV per atom.

Entry 9:
## YSc2Au (PBE-GGA)

Data for a geometry-optimized YSc2Au structure.

It has space group Immm (No. 71), with a = 3.533 Å, b = 5.074 Å, c = 10.767 Å, α = 90.00°, β = 90.00° and γ = 90.00°. The distinct sites, in fractional coordinates, are Y at (0.000, 0.000, 0.000), Sc at (0.000, 0.500, 0.213) and Au at (0.000, 0.000, 0.500).

For the energy above the most stable polymorph in this dataset, the calculation gives 0.0 meV per atom. The energy of formation from the pure elements is -422 meV per atom.

Entry 10:
## CaBeIN2 (PBE-GGA)

Data for a geometry-optimized CaBeIN2 structure.

It has space group P4/mmm (No. 123), with a = 4.035 Å, b = 4.035 Å, c = 5.118 Å, α = 90.00°, β = 90.00° and γ = 90.00°. The distinct sites, in fractional coordinates, are Ca at (0.000, 0.000, 0.000), Be at (0.500, 0.500, 0.500), I at (0.500, 0.500, 0.000) and N at (0.000, 0.500, 0.500).

For the energy above the most stable polymorph in this dataset, the calculation gives 0.0 meV per atom. The energy relative to the elements, uncorrected comes out at 0.739 eV per atom.

Entry 11:
## Cs2AcSmS4 (PBE-GGA)

Data for a geometry-optimized Cs2AcSmS4 structure.

It has space group P2/m (No. 10), with a = 7.531 Å, b = 4.346 Å, c = 8.483 Å, α = 90.00°, β = 107.12° and γ = 90.00°. The distinct sites, in fractional coordinates, are Cs at (0.000, 0.000, 0.000), Cs at (0.500, 0.500, 0.000), Ac at (0.000, 0.500, 0.500), Sm at (0.500, 0.000, 0.500), S at (0.243, 0.000, 0.690) and S at (0.283, 0.500, 0.314).

The energy relative to the elements, uncorrected comes out at -1.835 eV per atom.

Entry 12:
## U3Sb5 (PBE-GGA)

Data for a geometry-optimized U3Sb5 structure.

It has space group Cmmm (No. 65), with a = 7.592 Å, b = 10.094 Å, c = 5.430 Å, α = 90.00°, β = 90.00° and γ = 90.00°. The distinct sites, in fractional coordinates, are U at (0.000, 0.000, 0.000), U at (0.000, 0.277, 0.500), Sb at (0.000, 0.500, 0.000), Sb at (0.208, 0.000, 0.500) and Sb at (0.250, 0.250, 0.000).

The energy relative to the elements, uncorrected comes out at -0.132 eV per atom.